# 1
Material: YNiBiRh
Method: DFT, PBE
State: optimized geometry

Cell: 4.7727 4.7727 4.7727 Å, 60.00 60.00 60.00°
With the nearest neighbours (Å) after each atom.
Element x y z (fractional)
Y 0.7500 0.7500 0.7500  4 Rh 2.92, 4 Ni 2.92
Bi 0.2500 0.2500 0.2500  4 Ni 2.92, 4 Rh 2.92
Ni 0.0000 0.0000 0.0000  4 Y 2.92, 4 Bi 2.92
Rh 0.5000 0.5000 0.5000  4 Bi 2.92, 4 Y 2.92

SG	F-43m, No. 216

---

# 2
Material: ZnNiBi2Rh
Method: DFT, PBE
State: optimized geometry

Cell: 5.2049 4.7379 5.2049 Å, 90.00 90.00 90.00°
With the nearest neighbours (Å) after each atom.
Element x y z (fractional)
Zn 0.0000 0.5000 0.0000  2 Rh 2.37
Bi 0.0000 0.0000 0.5000  2 Rh 2.60
Bi 0.5000 0.0000 0.0000  2 Rh 2.60
Rh 0.0000 0.0000 0.0000  2 Zn 2.37, 4 Bi 2.60
Ni 0.5000 0.5000 0.5000  8 Bi 3.52, 4 Zn 3.68

SG	P4/mmm, No. 123

---

# 3
Material: ZrNi2BiRh
Method: DFT, PBE
State: optimized geometry

Cell: 4.6598 4.8477 4.6598 Å, 90.00 90.00 90.00°
With the nearest neighbours (Å) after each atom.
Element x y z (fractional)
Rh 0.0000 0.0000 0.0000  4 Ni 2.33, 2 Zr 2.42
Bi 0.5000 0.5000 0.5000  4 Zr 3.29, 8 Ni 3.36
Ni 0.0000 0.0000 0.5000  2 Rh 2.33
Ni 0.5000 0.0000 0.0000  2 Rh 2.33
Zr 0.0000 0.5000 0.0000  2 Rh 2.42

SG	P4/mmm, No. 123
energy above the most stable polymorph in this dataset	0.0000	eV/atom

---

# 4
Material: ZrNi2BiRh
Method: DFT, PBE
State: optimized geometry

Cell: 4.7034 4.8147 4.7034 Å, 90.00 90.00 90.00°
With the nearest neighbours (Å) after each atom.
Element x y z (fractional)
Rh 0.0000 0.5000 0.0000  2 Zr 2.41
Bi 0.5000 0.5000 0.5000  4 Rh 3.33, 8 Ni 3.37
Zr 0.0000 0.0000 0.0000  4 Ni 2.35, 2 Rh 2.41
Ni 0.5000 0.0000 0.0000  2 Zr 2.35
Ni 0.0000 0.0000 0.5000  2 Zr 2.35

SG	P4/mmm, No. 123
energy above the most stable polymorph in this dataset	0.2521	eV/atom

---

# 5
Material: NiBi3Ru
Method: DFT, PBE
State: optimized geometry

Cell: 5.2286 5.2286 5.2286 Å, 90.00 90.00 90.00°
With the nearest neighbours (Å) after each atom.
Element x y z (fractional)
Ni 0.5000 0.5000 0.5000  12 Bi 3.70
Bi 0.0000 0.5000 0.0000  2 Ru 2.61
Bi 0.5000 0.0000 0.0000  2 Ru 2.61
Bi 0.0000 0.0000 0.5000  2 Ru 2.61
Ru 0.0000 0.0000 0.0000  6 Bi 2.61

SG	Pm-3m, No. 221
energy above the most stable polymorph in this dataset	0.0066	eV/atom

---

# 6
Material: Ni2Bi8Ru
Method: DFT, PBE
State: optimized geometry

Cell: 5.1894 8.2783 8.2783 Å, 61.44 91.08 91.08°
With the nearest neighbours (Å) after each atom.
Element x y z (fractional)
Bi 0.2663 0.8185 0.3351  1 Ni 2.63, 1 Ru 2.79
Bi 0.1799 0.3572 0.3572  1 Ni 2.56
Bi 0.7292 0.1640 0.1640  2 Ni 2.60-2.61, 1 Ru 2.75
Bi 0.2708 0.8360 0.8360  2 Ni 2.60-2.61, 1 Ru 2.75
Bi 0.2663 0.3351 0.8185  1 Ni 2.63, 1 Ru 2.79
Bi 0.8201 0.6428 0.6428  1 Ni 2.56
Bi 0.7337 0.6649 0.1815  1 Ni 2.63, 1 Ru 2.79
Bi 0.7337 0.1815 0.6649  1 Ni 2.63, 1 Ru 2.79
Ru 0.0000 0.0000 0.0000  6 Bi 2.75-2.79, 2 Ni 2.79
Ni 0.2307 0.1790 0.1790  5 Bi 2.56-2.63, 1 Ru 2.79
Ni 0.7693 0.8210 0.8210  5 Bi 2.56-2.63, 1 Ru 2.79

SG	C2/m, No. 12

---

# 7
Material: NiBiRu
Method: DFT, PBE
State: optimized geometry

Cell: 3.8862 3.8758 8.8397 Å, 90.00 90.00 120.09°
With the nearest neighbours (Å) after each atom.
Element x y z (fractional)
Ni 0.2771 0.5543 0.5000  6 Bi 2.76-2.77
Ni 0.6115 0.2229 0.0000  6 Ru 2.57, 2 Bi 2.80
Bi 0.6114 0.2228 0.6834  3 Ru 2.72, 4 Ni 2.76-2.80
Bi 0.6114 0.2228 0.3166  3 Ru 2.72, 4 Ni 2.76-2.80
Ru 0.2776 0.5552 0.8581  1 Ru 2.51, 3 Ni 2.57, 3 Bi 2.72
Ru 0.2776 0.5552 0.1419  1 Ru 2.51, 3 Ni 2.57, 3 Bi 2.72

SG	Amm2, No. 38

---

# 8
Material: NiBiRu3
Method: DFT, PBE
State: optimized geometry

Cell: 4.5140 4.5140 4.5140 Å, 90.00 90.00 90.00°
With the nearest neighbours (Å) after each atom.
Element x y z (fractional)
Ru 0.5000 0.0000 0.0000  2 Ni 2.26
Ru 0.0000 0.0000 0.5000  2 Ni 2.26
Ru 0.0000 0.5000 0.0000  2 Ni 2.26
Ni 0.0000 0.0000 0.0000  6 Ru 2.26
Bi 0.5000 0.5000 0.5000  12 Ru 3.19

SG	Pm-3m, No. 221
energy above the most stable polymorph in this dataset	0.0000	eV/atom

---

# 9
Material: NiBi3Ru
Method: DFT, PBE
State: optimized geometry

Cell: 5.0378 5.0378 5.0378 Å, 90.00 90.00 90.00°
With the nearest neighbours (Å) after each atom.
Element x y z (fractional)
Ru 0.5000 0.5000 0.5000  12 Bi 3.56
Bi 0.5000 0.0000 0.0000  2 Ni 2.52
Bi 0.0000 0.5000 0.0000  2 Ni 2.52
Bi 0.0000 0.0000 0.5000  2 Ni 2.52
Ni 0.0000 0.0000 0.0000  6 Bi 2.52

SG	Pm-3m, No. 221
energy above the most stable polymorph in this dataset	0.0000	eV/atom

---

# 10
Material: Ni3BiRu
Method: DFT, PBE
State: optimized geometry

Cell: 4.5342 4.5342 4.5342 Å, 90.00 90.00 90.00°
With the nearest neighbours (Å) after each atom.
Element x y z (fractional)
Ni 0.0000 0.5000 0.0000  2 Ru 2.27
Ni 0.0000 0.0000 0.5000  2 Ru 2.27
Ni 0.5000 0.0000 0.0000  2 Ru 2.27
Bi 0.5000 0.5000 0.5000  12 Ni 3.21
Ru 0.0000 0.0000 0.0000  6 Ni 2.27

SG	Pm-3m, No. 221
energy above the most stable polymorph in this dataset	0.0000	eV/atom

---

Number 1: energy relative to the elements -9.127 kcal/mol of atoms, total energy -6.265 eV/atom. Number 2: energy relative to the elements 13.962 kcal/mol of atoms, total energy -3.828 eV/atom. Number 3: energy relative to the elements 11.673 kcal/mol of atoms, total energy -5.762 eV/atom. Number 4: energy relative to the elements 17.487 kcal/mol of atoms, total energy -5.510 eV/atom. Number 5: energy relative to the elements 19.851 kcal/mol of atoms, total energy -4.479 eV/atom. Number 6: energy relative to the elements 4.130 kcal/mol of atoms, total energy -4.538 eV/atom. Number 7: energy relative to the elements 11.297 kcal/mol of atoms, total energy -5.823 eV/atom. Number 8: energy relative to the elements 27.867 kcal/mol of atoms, total energy -6.290 eV/atom. Number 9: energy relative to the elements 19.698 kcal/mol of atoms, total energy -4.486 eV/atom. Number 10: energy relative to the elements 23.306 kcal/mol of atoms, total energy -5.090 eV/atom.